No. 1
! GGA-PBEsol RbBi2S2, relaxed; values from VASP
&SYSTEM
  ibrav = 0, nat = 10, ntyp = 3
/
ATOMIC_SPECIES
Bi 208.98 Bi.upf
S 32.06 S.upf
Rb 85.47 Rb.upf
CELL_PARAMETERS angstrom
-3.495 0.697 0.771
-1.927 -0.076 -8.670
-1.641 -8.717 0.441
ATOMIC_POSITIONS crystal
Bi 0.000 0.872 0.628
Bi 0.000 0.128 0.372
Bi 0.000 0.372 0.872
Bi 0.000 0.628 0.128
S 0.500 0.782 0.282
S 0.500 0.718 0.782
S 0.500 0.282 0.218
S 0.500 0.218 0.718
Rb 0.000 0.000 0.000
Rb 0.000 0.500 0.500
! energy relative to the elements, uncorrected: -0.2066 eV per atom
! energy: -0.14257 hartree per atom
! total magnetic moment: 0.00 μB/cell
! space-group type: P4/mbm, No. 127

=====

No. 2
! GGA-PBEsol Rb2BiSb2, relaxed; values from VASP
&SYSTEM
  ibrav = 0, nat = 10, ntyp = 3
/
ATOMIC_SPECIES
Sb 121.76 Sb.upf
Rb 85.47 Rb.upf
Bi 208.98 Bi.upf
CELL_PARAMETERS angstrom
5.710 0.000 0.000
0.000 8.067 0.000
0.000 0.000 8.067
ATOMIC_POSITIONS crystal
Sb 0.000 0.876 0.624
Sb 0.000 0.624 0.124
Sb 0.000 0.376 0.876
Sb 0.000 0.124 0.376
Rb 0.500 0.823 0.323
Rb 0.500 0.177 0.677
Rb 0.500 0.677 0.823
Rb 0.500 0.323 0.177
Bi 0.000 0.500 0.500
Bi 0.000 0.000 0.000
! energy relative to the elements, uncorrected: -0.3045 eV per atom
! energy: -0.12475 hartree per atom
! total magnetic moment: 0.00 μB/cell
! space-group type: P4/mbm, No. 127
! relative energy among the computed polymorphs: 0.0000 eV per atom

=====

No. 3
! GGA-PBEsol Rb2BiSb2, relaxed; values from VASP
&SYSTEM
  ibrav = 0, nat = 5, ntyp = 3
/
ATOMIC_SPECIES
Rb 85.47 Rb.upf
Sb 121.76 Sb.upf
Bi 208.98 Bi.upf
CELL_PARAMETERS angstrom
-2.180 -3.937 -1.937
1.822 -2.780 3.600
-6.000 4.723 3.350
ATOMIC_POSITIONS crystal
Rb 0.250 0.750 0.500
Rb 0.750 0.250 0.500
Sb 0.412 0.412 0.824
Sb 0.588 0.588 0.176
Bi 0.000 0.000 0.000
! energy relative to the elements, uncorrected: 0.1862 eV per atom
! energy: -0.10672 hartree per atom
! total magnetic moment: 0.00 μB/cell
! space-group type: I4/mmm, No. 139
! relative energy among the computed polymorphs: 0.4906 eV per atom

=====

No. 4
! GGA-PBEsol RbBi2Sb2, relaxed; values from VASP
&SYSTEM
  ibrav = 0, nat = 5, ntyp = 3
/
ATOMIC_SPECIES
Bi 208.98 Bi.upf
Sb 121.76 Sb.upf
Rb 85.47 Rb.upf
CELL_PARAMETERS angstrom
5.756 0.000 0.000
0.000 5.756 0.000
-2.878 -2.878 5.600
ATOMIC_POSITIONS crystal
Bi 0.648 0.648 0.295
Bi 0.352 0.352 0.705
Sb 0.750 0.250 0.500
Sb 0.250 0.750 0.500
Rb 0.000 0.000 0.000
! energy relative to the elements, uncorrected: -0.1445 eV per atom
! energy: -0.14283 hartree per atom
! total magnetic moment: 0.00 μB/cell
! space-group type: I4/mmm, No. 139

=====

No. 5
! GGA-PBEsol RbSc3Bi, relaxed; values from VASP
&SYSTEM
  ibrav = 0, nat = 5, ntyp = 3
/
ATOMIC_SPECIES
Sc 44.96 Sc.upf
Bi 208.98 Bi.upf
Rb 85.47 Rb.upf
CELL_PARAMETERS angstrom
-3.549 2.465 -2.576
1.505 -2.260 -4.235
-3.233 -3.758 0.857
ATOMIC_POSITIONS crystal
Sc 0.000 0.500 0.000
Sc 0.000 0.000 0.500
Sc 0.500 0.000 0.000
Bi 0.500 0.500 0.500
Rb 0.000 0.000 0.000
! energy: -0.14044 hartree per atom
! total magnetic moment: 0.00 μB/cell
! space-group type: Pm-3m, No. 221
! DFT formation energy: 1204 meV/atom

=====

No. 6
! GGA-PBEsol RbBi4Se7, relaxed; values from VASP
&SYSTEM
  ibrav = 0, nat = 24, ntyp = 3
/
ATOMIC_SPECIES
Se 78.96 Se.upf
Bi 208.98 Bi.upf
Rb 85.47 Rb.upf
CELL_PARAMETERS angstrom
4.183 0.000 0.000
2.092 11.411 0.040
2.092 0.875 16.241
ATOMIC_POSITIONS crystal
Se 0.830 0.436 0.904
Se 0.365 0.208 0.062
Se 0.048 0.475 0.430
Se 0.565 0.250 0.620
Se 0.896 0.986 0.221
Se 0.765 0.890 0.580
Se 0.435 0.750 0.380
Se 0.104 0.014 0.779
Se 0.952 0.525 0.570
Se 0.302 0.658 0.738
Se 0.635 0.792 0.938
Se 0.170 0.564 0.096
Se 0.698 0.342 0.262
Se 0.235 0.110 0.420
Bi 0.365 0.706 0.565
Bi 0.701 0.832 0.767
Bi 0.772 0.384 0.072
Bi 0.299 0.168 0.233
Bi 0.635 0.294 0.435
Bi 0.153 0.082 0.612
Bi 0.228 0.616 0.928
Bi 0.847 0.918 0.388
Rb 0.534 0.775 0.156
Rb 0.466 0.225 0.844
! energy relative to the elements, uncorrected: -0.4920 eV per atom
! energy: -0.15625 hartree per atom
! total magnetic moment: 0.00 μB/cell
! space-group type: C2/m, No. 12